Ti3InSe | PBE | optimized geometry

The structure in extended XYZ format:
```
5
Lattice="5.0912 0.0000 0.0000 0.0000 5.0912 0.0000 0.0000 0.0000 5.0912" Properties=species:S:1:pos:R:3 pbc="T T T"
Ti 0.0000 0.0000 2.5456
Ti 0.0000 2.5456 0.0000
Ti 2.5456 0.0000 0.0000
In 0.0000 0.0000 0.0000
Se 2.5456 2.5456 2.5456
```

**Formation energy without anion corrections**: 1.003 eV/atom
**Total moment**: 1.000 μB per atom
**Energy relative to the lowest polymorph listed for this composition**: 6.25 eV/f.u.

AcGa3Sn | PBE | optimized geometry

The structure in extended XYZ format:
```
10
Lattice="2.3742 -11.7645 0.0000 2.3742 11.7645 0.0000 0.0000 0.0000 4.4632" Properties=species:S:1:pos:R:3 pbc="T T T"
Ac 2.3742 9.9085 3.3474
Ac 2.3742 -9.9085 1.1158
Ga 2.3742 4.4284 1.1158
Ga 2.3742 3.0901 3.3474
Ga 2.3742 0.5959 3.3474
Ga 2.3742 -0.5959 1.1158
Ga 2.3742 -3.0901 1.1158
Ga 2.3742 -4.4284 3.3474
Sn 2.3742 7.1210 1.1158
Sn 2.3742 -7.1210 3.3474
```

**Total moment**: 0.000 μB per atom
**Energy of formation from the pure elements**: -38.9 kJ/mol of atoms

Ta3VSi | PBE | optimized geometry

The structure in extended XYZ format:
```
5
Lattice="4.6309 0.0000 0.0000 0.0000 4.6309 0.0000 0.0000 0.0000 4.6309" Properties=species:S:1:pos:R:3 pbc="T T T"
Ta 0.0000 0.0000 2.3154
Ta 0.0000 2.3154 0.0000
Ta 2.3154 0.0000 0.0000
V 2.3154 2.3154 2.3154
Si 0.0000 0.0000 0.0000
```

**Formation energy without anion corrections**: 0.916 eV/atom
**Total moment**: 0.325 μB per atom
**Energy relative to the lowest polymorph listed for this composition**: 0.00 eV/f.u.

In2CuAu8 | PBE | optimized geometry

The structure in extended XYZ format:
```
11
Lattice="-2.2635 3.4051 6.8067 2.2635 -3.4051 6.8067 2.2635 3.4051 -6.8067" Properties=species:S:1:pos:R:3 pbc="T T T"
In 0.0000 0.0000 2.4307
In 0.0000 0.0000 11.1827
Cu 0.0000 0.0000 6.8067
Au 2.2635 1.5689 -1.8237
Au 0.0000 1.8105 0.0000
Au 2.2635 0.0000 4.3285
Au 2.2635 1.5689 1.8237
Au 0.0000 1.8362 4.9830
Au 0.0000 3.4051 2.4783
Au 0.0000 4.9998 0.0000
Au 0.0000 1.8362 8.6305
```

**Total moment**: 0.000 μB per atom
**Energy relative to the lowest polymorph listed for this composition**: 0.09 eV/f.u.
**Energy of formation from the pure elements**: -6.5 kJ/mol of atoms

NbV4Mo4 | PBE | optimized geometry

The structure in extended XYZ format:
```
18
Lattice="5.3624 0.0000 0.0000 0.0000 5.3624 0.0000 0.0000 0.0000 10.0125" Properties=species:S:1:pos:R:3 pbc="T T T"
Nb 1.3406 4.0218 2.5031
Nb 4.0218 1.3406 7.5094
V 0.1316 1.3406 1.9015
V 1.3406 0.1316 6.9078
V 1.3406 2.5496 6.9078
V 2.5496 1.3406 1.9015
V 2.8128 4.0218 8.1109
V 4.0218 2.8128 3.1047
V 4.0218 5.2308 3.1047
V 5.2308 4.0218 8.1109
Mo 0.0068 1.3406 4.8300
Mo 1.3406 0.0068 9.8362
Mo 1.3406 2.6744 9.8362
Mo 2.6744 1.3406 4.8300
Mo 2.6880 4.0218 5.1825
Mo 4.0218 2.6880 0.1762
Mo 4.0218 5.3556 0.1762
Mo 5.3556 4.0218 5.1825
```

**Total moment**: 0.000 μB per atom
**Energy of formation from the pure elements**: 45.3 kJ/mol of atoms

TaHgO3 | PBE | optimized geometry

The structure in extended XYZ format:
```
5
Lattice="4.0140 0.0000 0.0000 0.0000 4.0140 0.0000 0.0000 0.0000 4.0140" Properties=species:S:1:pos:R:3 pbc="T T T"
Ta 0.0000 0.0000 0.0000
Hg 2.0070 2.0070 2.0070
O 0.0000 0.0000 2.0070
O 0.0000 2.0070 0.0000
O 2.0070 0.0000 0.0000
```

**Formation energy without anion corrections**: -1.832 eV/atom
**Total moment**: 0.000 μB per atom

PH4S5 | PBE | optimized geometry

The structure in extended XYZ format:
```
10
Lattice="-3.4711 3.4711 3.4025 3.4711 -3.4711 3.4025 3.4711 3.4711 -3.4025" Properties=species:S:1:pos:R:3 pbc="T T T"
P 0.0000 0.0000 0.0000
H 2.3427 1.4108 0.8470
H 2.0603 -1.1284 4.2495
H 1.4108 4.5995 0.8470
H 1.1284 2.0603 4.2495
S 4.8028 -0.0524 0.8018
S 2.1395 0.0524 0.8018
S -0.0524 2.1395 0.8018
S 0.0000 0.0000 4.8033
S 0.0524 4.8028 0.8018
```

**Total moment**: 0.000 μB per atom
**Final energy**: -38.9 eV per cell

ZnGa4Ir | PBE | optimized geometry

The structure in extended XYZ format:
```
12
Lattice="-3.1800 3.1800 5.0261 3.1800 -3.1800 5.0261 3.1800 3.1800 -5.0261" Properties=species:S:1:pos:R:3 pbc="T T T"
Zn 0.0000 0.0000 0.0000
Zn 0.0000 0.0000 5.0261
Ga 4.1340 0.9540 -1.4015
Ga 0.9540 2.2259 -1.4015
Ga 4.1340 0.9540 1.4015
Ga 0.9540 2.2259 1.4015
Ga 2.2259 0.9540 3.6246
Ga -0.9540 2.2259 3.6246
Ga 2.2259 0.9540 6.4275
Ga -0.9540 2.2259 6.4275
Ir 0.0000 0.0000 2.5130
Ir 0.0000 0.0000 7.5391
```

**Total moment**: 0.000 μB per atom
**Energy relative to the lowest polymorph listed for this composition**: 0.00 eV/f.u.
**Energy of formation from the pure elements**: -23.5 kJ/mol of atoms

CaMgBr | PBE | optimized geometry

The structure in extended XYZ format:
```
12
Lattice="15.1191 0.0000 0.0000 0.0000 5.1656 0.0000 0.0000 0.0000 5.0678" Properties=species:S:1:pos:R:3 pbc="T T T"
Ca 2.5276 0.0000 0.0000
Ca 2.5276 2.5828 2.5339
Ca 12.5915 0.0000 0.0000
Ca 12.5915 2.5828 2.5339
Mg 0.0000 0.0000 2.5295
Mg 0.0000 2.5828 5.0634
Mg 7.5596 0.0000 2.4260
Mg 7.5596 2.5828 4.9599
Br 4.1677 0.0000 2.5340
Br 4.1677 2.5828 0.0001
Br 10.9514 0.0000 2.5340
Br 10.9514 2.5828 0.0001
```

**Formation energy without anion corrections**: -0.746 eV/atom
**Total moment**: 0.000 μB per atom
**Energy relative to the lowest polymorph listed for this composition**: 0.00 eV/f.u.

P2RuNO | PBE | optimized geometry

The structure in extended XYZ format:
```
10
Lattice="8.6157 0.0000 0.0000 0.0000 2.8445 0.0000 -0.4592 0.0000 4.9927" Properties=species:S:1:pos:R:3 pbc="T T T"
P 0.0000 0.0000 0.0000
P 1.6029 0.0000 3.1310
P 4.3078 1.4223 0.0000
P 5.9108 1.4223 3.1310
Ru 2.5156 1.4223 1.6583
Ru 6.8234 0.0000 1.6583
N 0.9209 1.4223 0.3623
N 5.2287 0.0000 0.3623
O -0.1349 0.0000 3.2596
O 4.1729 1.4223 3.2596
```

**Formation energy without anion corrections**: -0.251 eV/atom
**Total moment**: 0.000 μB per atom
**Energy relative to the lowest polymorph listed for this composition**: 1.73 eV/f.u.

BeCu2P | PBE | optimized geometry

The structure in extended XYZ format:
```
4
Lattice="2.7488 0.0000 0.0000 0.0000 3.3974 0.0000 0.0000 0.0000 4.9358" Properties=species:S:1:pos:R:3 pbc="T T T"
Be 0.0000 0.0000 0.0000
Cu 1.3744 1.6987 1.1888
Cu 1.3744 1.6987 3.7470
P 0.0000 0.0000 2.4679
```

**Total moment**: 0.000 μB per atom
**Energy relative to the lowest polymorph listed for this composition**: 0.26 eV/f.u.
**Energy of formation from the pure elements**: 10.1 kJ/mol of atoms

CsY2Zn2 | PBE | optimized geometry

The structure in extended XYZ format:
```
10
Lattice="9.0287 0.0000 0.0000 0.0000 9.0287 0.0000 0.0000 0.0000 3.5115" Properties=species:S:1:pos:R:3 pbc="T T T"
Cs 0.0000 0.0000 0.0000
Cs 4.5143 4.5143 0.0000
Y 1.1956 3.3187 0.0000
Y 3.3187 7.8331 0.0000
Y 5.7099 1.1956 0.0000
Y 7.8331 5.7099 0.0000
Zn 1.4216 5.9359 1.7557
Zn 3.0927 1.4216 1.7557
Zn 5.9359 7.6071 1.7557
Zn 7.6071 3.0927 1.7557
```

**Total moment**: 0.000 μB per atom
**Energy relative to the lowest polymorph listed for this composition**: 0.00 eV/f.u.
**Energy of formation from the pure elements**: 9.9 kJ/mol of atoms